(1)
Density functional theory data (PBE-GGA) for an optimized crystal structure of BeSi2RuW.

abc: 4.498 4.065 4.498
angles: 90.00 90.00 90.00
Last column: magnetic moment on the atom in μB.
Positions (direct):
Ru (0.000, 0.000, 0.000)  0.30
Si (0.000, 0.000, 0.500)  -0.04
Si (0.500, 0.000, 0.000)  0.01
W (0.500, 0.500, 0.500)  1.84
Be (0.000, 0.500, 0.000)  -0.02

**Crystal system**: tetragonal

(2)
Density functional theory data (PBE-GGA) for an optimized crystal structure of CeTmSbO2.

abc: 5.509 5.506 6.965
angles: 113.28 90.00 90.00
Last column: magnetic moment on the atom in μB.
Positions (direct):
Ce (0.250, 0.597, 0.194)  0.37
Ce (0.750, 0.403, 0.806)  0.37
Tm (0.250, 0.916, 0.831)  0.00
Tm (0.750, 0.084, 0.169)  0.00
Sb (0.750, 0.750, 0.500)  -0.02
Sb (0.250, 0.250, 0.500)  -0.02
O (0.500, 0.248, 0.000)  -0.01
O (0.000, 0.752, 0.000)  -0.01
O (0.500, 0.752, 0.000)  -0.01
O (0.000, 0.248, 0.000)  -0.01

**Crystal system**: orthorhombic

Calculated formation energy without anion corrections in order - 1.03, -2.71 eV/atom
Calculated total magnetic moment in order - 2.58, 0.67 μB per cell
Calculated calculated density in order - 7068, 7920 kg/m3